[1]
A plane-wave DFT calculation with PBE was carried out for Hg3Pd5I12 after structural relaxation.

Properties
**Size of the total moment**: 0.00 μB/cell
**D(E_F)**: 37.58 states/eV per cell
**Energy relative to the elements, uncorrected**: -0.087 eV per atom

abc: 15.5929 15.5929 15.5929
angles: 109.47 109.47 109.47
Fractional coordinates of all 80 atoms:
I (0.1665, 0.1312, 0.9932)
Hg (0.2500, 0.1250, 0.3750)
I (0.5353, 0.8620, 0.3688)
I (0.1380, 0.6732, 0.5068)
I (0.3688, 0.0068, 0.3335)
I (0.9932, 0.3620, 0.3268)
Pd (0.1250, 0.3750, 0.2500)
I (0.1312, 0.9647, 0.1380)
Hg (0.6250, 0.2500, 0.3750)
Pd (0.7500, 0.1250, 0.8750)
Pd (0.6250, 0.7500, 0.8750)
I (0.4647, 0.1380, 0.6312)
I (0.8688, 0.8335, 0.5068)
I (0.1312, 0.1665, 0.4932)
Pd (0.5000, 0.5000, 0.0000)
I (0.6732, 0.1380, 0.0068)
I (0.4932, 0.6665, 0.1312)
Pd (0.1250, 0.7500, 0.3750)
Pd (0.0000, 0.5000, 0.0000)
Pd (0.6250, 0.8750, 0.2500)
I (0.5068, 0.1732, 0.1380)
Pd (0.2500, 0.3750, 0.6250)
I (0.1665, 0.0353, 0.6732)
I (0.8620, 0.3268, 0.4932)
Hg (0.7500, 0.8750, 0.6250)
I (0.3335, 0.5068, 0.3688)
I (0.5068, 0.3335, 0.8688)
I (0.6312, 0.9932, 0.6665)
I (0.9647, 0.1312, 0.6380)
I (0.8335, 0.8688, 0.0068)
Pd (0.0000, 0.0000, 0.5000)
Hg (0.8750, 0.1250, 0.2500)
I (0.6380, 0.6312, 0.9647)
Pd (0.0000, 0.5000, 0.5000)
Pd (0.8750, 0.6250, 0.7500)
I (0.0068, 0.6380, 0.6732)
Pd (0.7500, 0.6250, 0.3750)
I (0.3688, 0.3620, 0.5353)
I (0.9647, 0.8335, 0.8268)
I (0.6312, 0.6380, 0.4647)
I (0.0353, 0.8688, 0.3620)
I (0.8268, 0.3335, 0.9647)
Pd (0.3750, 0.1250, 0.7500)
Pd (0.0000, 0.0000, 0.0000)
I (0.8335, 0.9647, 0.3268)
I (0.6665, 0.1732, 0.5353)
Hg (0.1250, 0.8750, 0.7500)
Pd (0.5000, 0.5000, 0.5000)
I (0.1380, 0.4647, 0.1312)
I (0.8268, 0.4932, 0.3620)
I (0.4647, 0.3268, 0.3335)
I (0.4932, 0.8268, 0.8620)
I (0.3335, 0.8268, 0.4647)
Pd (0.5000, 0.0000, 0.5000)
I (0.5353, 0.6732, 0.6665)
I (0.9932, 0.6312, 0.1665)
Hg (0.3750, 0.6250, 0.2500)
I (0.8688, 0.0353, 0.8620)
I (0.0353, 0.1665, 0.1732)
Hg (0.7500, 0.3750, 0.1250)
I (0.3620, 0.9932, 0.8268)
I (0.1732, 0.6665, 0.0353)
Hg (0.2500, 0.6250, 0.8750)
I (0.1732, 0.5068, 0.6380)
I (0.6732, 0.5353, 0.1665)
I (0.0068, 0.3688, 0.8335)
I (0.8620, 0.5353, 0.8688)
Pd (0.3750, 0.2500, 0.1250)
Pd (0.8750, 0.2500, 0.6250)
Hg (0.6250, 0.3750, 0.7500)
I (0.3620, 0.3688, 0.0353)
I (0.3268, 0.4647, 0.8335)
I (0.6380, 0.0068, 0.1732)
I (0.6665, 0.4932, 0.6312)
I (0.3268, 0.8620, 0.9932)
Pd (0.5000, 0.0000, 0.0000)
Hg (0.3750, 0.7500, 0.6250)
Hg (0.1250, 0.2500, 0.8750)
Hg (0.8750, 0.7500, 0.1250)
Pd (0.2500, 0.8750, 0.1250)



[2]
A plane-wave DFT calculation with PBE was carried out for Pr3Nd3Er after structural relaxation.

Properties
**Offset from the most stable computed form**: 188 meV/atom
**Size of the total moment**: 0.00 μB/cell
**D(E_F)**: 19.90 states/eV per cell
**DFT formation energy**: 0.216 eV per atom

abc: 9.0489 9.0489 9.0489
angles: 58.46 58.46 58.46
Fractional coordinates of all 14 atoms:
Pr (0.8155, 0.0626, 0.2963)
Pr (0.0626, 0.2963, 0.8155)
Pr (0.2963, 0.8155, 0.0626)
Nd (0.0700, 0.7205, 0.5663)
Nd (0.4337, 0.9300, 0.2795)
Nd (0.5663, 0.0700, 0.7205)
Nd (0.9300, 0.2795, 0.4337)
Pr (0.1845, 0.9374, 0.7037)
Nd (0.7205, 0.5663, 0.0700)
Er (0.3446, 0.3446, 0.3446)
Pr (0.7037, 0.1845, 0.9374)
Er (0.6554, 0.6554, 0.6554)
Nd (0.2795, 0.4337, 0.9300)
Pr (0.9374, 0.7037, 0.1845)



[3]
A plane-wave DFT calculation with PBE was carried out for Ba2TlIn4Sn3 after structural relaxation.

Properties
**Size of the total moment**: 0.00 μB/cell
**D(E_F)**: 4.09 states/eV per cell
**DFT formation energy**: -0.325 eV per atom

abc: 5.3917 5.3917 11.2204
angles: 90.00 90.00 90.00
Fractional coordinates of all 10 atoms:
Sn (0.5000, 0.0000, 0.8805)
In (0.5000, 0.0000, 0.6239)
In (0.0000, 0.5000, 0.3761)
In (0.0000, 0.0000, 0.0000)
In (0.5000, 0.5000, 0.0000)
Sn (0.0000, 0.0000, 0.5000)
Tl (0.5000, 0.5000, 0.5000)
Ba (0.0000, 0.5000, 0.7478)
Ba (0.5000, 0.0000, 0.2522)
Sn (0.0000, 0.5000, 0.1195)



[4]
A plane-wave DFT calculation with PBE was carried out for LiPmSmS3 after structural relaxation.

Properties
**Size of the total moment**: 0.00 μB/cell
**D(E_F)**: 3.57 states/eV per cell
**Energy relative to the elements, uncorrected**: -1.821 eV per atom

abc: 3.8761 8.2509 8.4802
angles: 101.65 90.00 90.00
Fractional coordinates of all 12 atoms:
Pm (0.7500, 0.8190, 0.7821)
S (0.2500, 0.5820, 0.8281)
S (0.2500, 0.7919, 0.5086)
Li (0.7500, 0.9137, 0.4162)
Li (0.2500, 0.0863, 0.5838)
S (0.7500, 0.4180, 0.1719)
Sm (0.7500, 0.3403, 0.8303)
S (0.7500, 0.9050, 0.1334)
S (0.7500, 0.2081, 0.4914)
S (0.2500, 0.0950, 0.8666)
Pm (0.2500, 0.1810, 0.2179)
Sm (0.2500, 0.6597, 0.1697)



[5]
A plane-wave DFT calculation with PBE was carried out for Th6Si2GeS3 after structural relaxation.

Properties
**Size of the total moment**: 0.00 μB/cell
**D(E_F)**: 7.75 states/eV per cell
**Energy relative to the elements, uncorrected**: -1.291 eV per atom

abc: 4.2114 8.2742 9.2714
angles: 101.16 103.13 90.00
Fractional coordinates of all 12 atoms:
S (0.8342, 0.1669, 0.6684)
S (0.1658, 0.8331, 0.3316)
Th (0.9998, 0.7446, 0.9996)
Th (0.6667, 0.5838, 0.3334)
Si (0.8334, 0.6671, 0.6668)
Th (0.6684, 0.0837, 0.3368)
Ge (0.5000, 0.0000, 0.0000)
Si (0.1666, 0.3329, 0.3332)
Th (0.3333, 0.4162, 0.6666)
Th (0.3316, 0.9163, 0.6632)
Th (0.0002, 0.2554, 0.0004)
S (0.5000, 0.5000, 0.0000)



[6]
A plane-wave DFT calculation with PBE was carried out for Ce3Ni2As4 after structural relaxation.

Properties
**Offset from the most stable computed form**: 0 meV/atom
**Size of the total moment**: 0.59 μB/cell
**D(E_F)**: 11.85 states/eV per cell
**DFT formation energy**: -1.002 eV per atom

abc: 4.0694 6.5676 8.5270
angles: 119.10 90.00 108.05
Last column: magnetic moment on the atom in μB.
Fractional coordinates of all 9 atoms:
As (0.9097, 0.8194, 0.6017)  -0.01
As (0.3158, 0.6315, 0.9031)  -0.01
As (0.0903, 0.1806, 0.3983)  -0.01
Ce (0.6310, 0.2619, 0.7084)  0.32
As (0.6842, 0.3685, 0.0969)  -0.01
Ce (0.3690, 0.7381, 0.2916)  0.32
Ni (0.6837, 0.3674, 0.3776)  -0.02
Ni (0.3163, 0.6326, 0.6224)  -0.02
Ce (0.0000, 0.0000, 0.0000)  -0.08



Please write out number 3 again, unchanged.
A plane-wave DFT calculation with PBE was carried out for Ba2TlIn4Sn3 after structural relaxation.

Properties
**Size of the total moment**: 0.00 μB/cell
**D(E_F)**: 4.09 states/eV per cell
**DFT formation energy**: -0.325 eV per atom

abc: 5.3917 5.3917 11.2204
angles: 90.00 90.00 90.00
Fractional coordinates of all 10 atoms:
Sn (0.5000, 0.0000, 0.8805)
In (0.5000, 0.0000, 0.6239)
In (0.0000, 0.5000, 0.3761)
In (0.0000, 0.0000, 0.0000)
In (0.5000, 0.5000, 0.0000)
Sn (0.0000, 0.0000, 0.5000)
Tl (0.5000, 0.5000, 0.5000)
Ba (0.0000, 0.5000, 0.7478)
Ba (0.5000, 0.0000, 0.2522)
Sn (0.0000, 0.5000, 0.1195)